This record from the Alexandria database describes a geometry-optimized ZnGe2MoF structure. The functional is PBE+U.

Summary:
Final energy in eV/cell: -18.528
Magnetization in μB per cell: 3.26
DOS(E_F) in states/eV/f.u.: 2.35

a b c (Å): 4.581 4.581 4.373
angles (deg): 90.00 90.00 90.00
Element x y z (fractional)
Zn 0.000 0.000 0.000
Ge 0.000 0.500 0.500
Ge 0.500 0.000 0.500
Mo 0.500 0.500 0.000
F 0.000 0.000 0.500